No. 1
BaSnN2: optimized geometry, PBE.

Cell: 4.155 4.155 8.579 Å, 90.00 90.00 90.00°
Positions (direct):
Ba1 0.250 0.250 0.151
Ba2 0.750 0.750 0.849
Sn1 0.250 0.250 0.602
Sn2 0.750 0.750 0.398
N1 0.250 0.250 0.841
N2 0.250 0.750 0.500
N3 0.750 0.250 0.500
N4 0.750 0.750 0.159

symmetry	P4/nmm, No. 129
raw formation energy	-0.18	eV per atom

=====

No. 2
BaSnN3: optimized geometry, PBE.

Cell: 4.582 4.582 4.582 Å, 90.00 90.00 90.00°
Positions (direct):
Ba1 0.000 0.000 0.000
Sn1 0.500 0.500 0.500
N1 0.000 0.000 0.500
N2 0.000 0.500 0.000
N3 0.500 0.000 0.000

symmetry	Pm-3m, No. 221
raw formation energy	2.10	eV per atom